A plane-wave DFT calculation with PBE was carried out for LiSiMo after structural relaxation.

a b c (Å): 6.808 6.651 2.702
angles (deg): 81.69 75.18 23.13
Fractional coordinates of all 3 atoms:
Si (0.671, 0.671, 0.329)
Li (0.007, 0.007, 0.993)
Mo (0.323, 0.323, 0.677)

Total magnetic moment ... 0.0 μB per cell
V ... 45.12 Å³/f.u.
Raw formation energy ... 83 meV/atom